Compound: Rb5TbO4
Source: Alexandria
Functional: PBE
Structure: optimized geometry

Unit cell a=6.659 b=9.171 c=8.578 alpha=90.00 beta=90.00 gamma=90.00
Atoms (fractional coordinates):
Rb  0.258  0.311  0.737
O  0.037  0.203  0.000
Rb  0.742  0.811  0.763
O  0.612  0.500  0.717
Tb  0.214  0.000  0.000
Rb  0.258  0.689  0.737
Rb  0.742  0.189  0.237
O  0.388  0.000  0.217
O  0.963  0.703  0.500
Rb  0.258  0.689  0.263
Rb  0.258  0.311  0.263
Tb  0.786  0.500  0.500
Rb  0.175  0.000  0.500
O  0.388  0.000  0.783
O  0.037  0.797  0.000
O  0.612  0.500  0.283
Rb  0.742  0.189  0.763
O  0.963  0.297  0.500
Rb  0.825  0.500  0.000
Rb  0.742  0.811  0.237

Results
The calculation puts the excess energy over the best structure of this formula in the dataset at 0.0 kJ per mole of atoms.

Compound: AcNdSm2Ho
Source: Alexandria
Functional: PBE
Structure: optimized geometry

Unit cell a=7.352 b=8.367 c=7.409 alpha=124.38 beta=90.00 gamma=90.00
Atoms (fractional coordinates):
Nd  0.750  0.942  0.883
Sm  0.500  0.305  0.000
Nd  0.250  0.058  0.117
Sm  0.000  0.695  0.000
Ac  0.750  0.243  0.486
Ho  0.750  0.692  0.384
Ac  0.250  0.757  0.514
Sm  0.000  0.305  0.000
Sm  0.500  0.695  0.000
Ho  0.250  0.308  0.616

Results
The formation enthalpy at 0 K is 0.346 eV/atom.

Compound: Tb2MnCu3Ge4
Source: Alexandria
Functional: PBE
Structure: optimized geometry

Unit cell a=4.112 b=4.112 c=10.303 alpha=90.00 beta=90.00 gamma=90.00
Last column: magnetic moment on the atom in μB.
Atoms (fractional coordinates):
Cu  0.500  0.000  0.866  -0.01
Mn  0.500  0.500  0.500  3.19
Tb  0.000  0.500  0.752  0.06
Ge  0.500  0.500  0.000  -0.01
Ge  0.000  0.500  0.364  -0.05
Ge  0.000  0.000  0.000  0.00
Cu  0.000  0.500  0.134  -0.01
Ge  0.500  0.000  0.636  -0.05
Tb  0.500  0.000  0.248  0.06
Cu  0.000  0.000  0.500  0.04

Results
The formation enthalpy at 0 K is -0.456 eV/atom.

Compound: TiCd3O
Source: Alexandria
Functional: PBE
Structure: optimized geometry

Unit cell a=4.651 b=4.651 c=4.651 alpha=90.00 beta=90.00 gamma=90.00
Last column: magnetic moment on the atom in μB.
Atoms (fractional coordinates):
Cd  0.500  0.000  0.000  0.05
Cd  0.000  0.500  0.000  0.07
Cd  0.000  0.000  0.500  0.04
Ti  0.500  0.500  0.500  1.70
O  0.000  0.000  0.000  0.30

Results
The calculation puts the excess energy over the best structure of this formula in the dataset at 0.0 kJ per mole of atoms.

no.,DOS(E_F) (states/eV/cell)
1,0.000
2,14.014
3,4.275
4,5.403